# 1
Hf2Ta4Tl3C3 (GGA-PBE, optimized geometry); symmetry = C2/c; total DFT energy (no corrections) = -8.89 eV per atom
1.0
-3.892 -3.527 -1.919
1.028 -3.089 -4.547
6.450 -8.467 10.663
C Hf Ta Tl
6 4 8 6
Direct
0.668 0.162 0.000
0.000 0.500 0.000
0.332 0.838 0.000
0.162 0.668 0.500
0.500 0.000 0.500
0.838 0.332 0.500
0.367 0.530 0.087
0.470 0.633 0.413
0.530 0.367 0.587
0.633 0.470 0.913
0.693 0.855 0.079
0.021 0.198 0.079
0.802 0.979 0.421
0.145 0.307 0.421
0.855 0.693 0.579
0.198 0.021 0.579
0.979 0.802 0.921
0.307 0.145 0.921
0.415 0.239 0.249
0.072 0.928 0.250
0.761 0.585 0.251
0.239 0.415 0.749
0.928 0.072 0.750
0.585 0.761 0.751

# 2
Co3CuBi5 (GGA-PBE, optimized geometry); symmetry = P6/mmm; total DFT energy (no corrections) = -4.70 eV per atom
1.0
5.477 0.000 0.000
-2.738 4.743 0.000
0.000 0.000 7.968
Bi Co Cu
5 3 1
Direct
0.667 0.333 0.221
0.333 0.667 0.221
0.000 0.000 0.500
0.667 0.333 0.779
0.333 0.667 0.779
0.500 0.000 0.500
0.000 0.500 0.500
0.500 0.500 0.500
0.000 0.000 0.000

# 3
GdYSn (GGA-PBE, optimized geometry); symmetry = F-43m; polymorph energy (0 for the lowest one) = 0.000 eV/atom; total DFT energy (no corrections) = -5.47 eV per atom
1.0
0.000 3.646 3.646
3.646 0.000 3.646
3.646 3.646 0.000
Gd Sn Y
1 1 1
Direct
0.250 0.250 0.250
0.000 0.000 0.000
0.750 0.750 0.750

Among the records above, which one has the highest total DFT energy (no corrections)?
Co3CuBi5